1.
Entry from the Alexandria database: CaSm6Y3Er2 after structural relaxation (PBE-GGA).

Results
Crystal system ... monoclinic
Total DFT energy (no corrections) ... -58.37 eV for the cell shown
ΔH_f (0 K) ... 39 meV/atom

Cell: 6.2679 6.2679 11.8638 Å, 95.02 95.02 119.97°
Last column: nearest neighbours and their distance in Å.
Element x y z (fractional)
Ca 0.0000 0.0000 0.0000  6 Er 3.62, 6 Sm 3.63
Sm 0.0846 0.4254 0.2512  3 Y 3.55-3.59, 6 Sm 3.58-3.70, 2 Er 3.58-3.59, 1 Ca 3.63
Sm 0.2562 0.2562 0.7481  3 Y 3.55-3.58, 6 Sm 3.58-3.70, 2 Er 3.60, 1 Ca 3.63
Sm 0.4254 0.0846 0.2512  3 Y 3.55-3.59, 6 Sm 3.58-3.70, 2 Er 3.58-3.59, 1 Ca 3.63
Sm 0.5746 0.9154 0.7488  3 Y 3.55-3.59, 6 Sm 3.58-3.70, 2 Er 3.58-3.59, 1 Ca 3.63
Sm 0.7438 0.7438 0.2519  3 Y 3.55-3.58, 6 Sm 3.58-3.70, 2 Er 3.60, 1 Ca 3.63
Sm 0.9154 0.5746 0.7488  3 Y 3.55-3.59, 6 Sm 3.58-3.70, 2 Er 3.58-3.59, 1 Ca 3.63
Y 0.1663 0.8337 0.5000  6 Sm 3.55-3.59, 6 Y 3.61-3.62
Y 0.5000 0.5000 0.5000  6 Sm 3.55-3.59, 6 Y 3.62
Y 0.8337 0.1663 0.5000  6 Sm 3.55-3.59, 6 Y 3.61-3.62
Er 0.3333 0.6667 0.0000  6 Sm 3.58-3.60, 3 Er 3.62, 3 Ca 3.62
Er 0.6667 0.3333 0.0000  6 Sm 3.58-3.60, 3 Er 3.62, 3 Ca 3.62



2.
Entry from the Alexandria database: PrThMgTc after structural relaxation (PBE-GGA).

Results
Crystal system ... cubic
Total DFT energy (no corrections) ... -94.85 eV for the cell shown
ΔH_f (0 K) ... 112 meV/atom

Cell: 7.3800 7.3800 7.3800 Å, 90.00 90.00 90.00°
Last column: nearest neighbours and their distance in Å.
Element x y z (fractional)
Pr 0.0000 0.0000 0.0000  4 Tc 3.20, 4 Mg 3.20
Pr 0.0000 0.5000 0.5000  4 Tc 3.20, 4 Mg 3.20
Pr 0.5000 0.0000 0.5000  4 Tc 3.20, 4 Mg 3.20
Pr 0.5000 0.5000 0.0000  4 Tc 3.20, 4 Mg 3.20
Th 0.0000 0.0000 0.5000  4 Tc 3.20, 4 Mg 3.20
Th 0.0000 0.5000 0.0000  4 Tc 3.20, 4 Mg 3.20
Th 0.5000 0.0000 0.0000  4 Tc 3.20, 4 Mg 3.20
Th 0.5000 0.5000 0.5000  4 Tc 3.20, 4 Mg 3.20
Mg 0.2500 0.2500 0.7500  4 Th 3.20, 4 Pr 3.20
Mg 0.2500 0.7500 0.2500  4 Th 3.20, 4 Pr 3.20
Mg 0.7500 0.2500 0.2500  4 Th 3.20, 4 Pr 3.20
Mg 0.7500 0.7500 0.7500  4 Th 3.20, 4 Pr 3.20
Tc 0.2500 0.2500 0.2500  4 Th 3.20, 4 Pr 3.20
Tc 0.2500 0.7500 0.7500  4 Th 3.20, 4 Pr 3.20
Tc 0.7500 0.2500 0.7500  4 Th 3.20, 4 Pr 3.20
Tc 0.7500 0.7500 0.2500  4 Th 3.20, 4 Pr 3.20



3.
Entry from the Alexandria database: Ta2CdAgHg after structural relaxation (PBE-GGA).

Results
Crystal system ... tetragonal
Total DFT energy (no corrections) ... -17.79 eV for the cell shown
ΔH_f (0 K) ... 1997 meV/atom

Cell: 5.0755 5.0755 5.0260 Å, 90.00 90.00 90.00°
Last column: nearest neighbours and their distance in Å.
Element x y z (fractional)
Ta 0.0000 0.5000 0.0000  2 Cd 2.54
Ta 0.5000 0.0000 0.0000  2 Cd 2.54
Cd 0.0000 0.0000 0.0000  2 Hg 2.51, 4 Ta 2.54
Ag 0.5000 0.5000 0.5000  8 Ta 3.57, 4 Hg 3.59
Hg 0.0000 0.0000 0.5000  2 Cd 2.51